Sm3Zn8Rh: relaxed, PBE.

Geometry as POSCAR:
```
Sm3Zn8Rh
1.0
-2.528 3.699 2.897
0.738 0.217 5.280
6.347 6.995 1.521
Sm Zn Rh
3 8 1
Cartesian
4.811 7.530 4.410
-1.550 4.113 8.135
2.183 5.377 4.866
-0.785 4.945 5.298
3.882 6.602 7.274
0.487 3.085 3.841
2.635 8.427 8.703
2.430 3.785 2.201
4.768 9.289 7.040
0.858 3.194 6.497
2.271 8.320 6.099
0.630 5.898 7.757
```

Summary:
The calculation puts the theoretical density at 8.01 g/cm3. Its total energy is -2.9640 eV/atom.